Record 1
Compound: Na3TiTl3O8
Source: Alexandria via LeMat-Bulk
Functional: PBE
Structure: optimized geometry

```
Na3TiTl3O8
1.0
6.6595 -0.0002 0.0001
-3.3299 5.7671 -0.0206
0.0002 -3.8255 5.6224
O Na Tl Ti
8 3 3 1
direct
0.7876 0.0102 0.2978
0.2601 0.5202 0.2803
0.7775 0.9898 0.7022
0.2123 0.4247 0.7023
0.7877 0.5753 0.2977
0.2225 0.0102 0.2978
0.2124 0.9898 0.7022
0.7399 0.4798 0.7197
0.5000 0.5000 0.0000
0.0000 0.5000 0.0000
0.0000 0.0000 0.0000
0.0000 0.5000 0.5000
0.5000 0.0000 0.5000
0.5000 0.5000 0.5000
0.0000 0.0000 0.5000
```

Results
- raw formation energy (meV per atom) = -1420
- density (g/cm³) = 6.6
- magnetization (μB/atom) = 0.000

=====

Record 2
Compound: SrIBr3
Source: Alexandria via LeMat-Bulk
Functional: PBE
Structure: optimized geometry

```
SrIBr3
1.0
-5.0217 1.2850 -2.5830
-2.4391 -8.0295 0.7473
-7.0762 3.3599 13.0046
Sr Br I
4 12 4
direct
0.8911 0.6153 0.2646
0.3911 0.8847 0.7646
0.6089 0.1153 0.2354
0.1089 0.3847 0.7354
0.0567 0.6615 0.8838
0.3854 0.4604 0.2514
0.7264 0.8251 0.1051
0.4433 0.1615 0.6162
0.8854 0.0396 0.7514
0.7736 0.3251 0.3949
0.9433 0.3385 0.1162
0.2736 0.1749 0.8949
0.5567 0.8385 0.3838
0.1146 0.9604 0.2486
0.6146 0.5396 0.7486
0.2264 0.6749 0.6051
0.6096 0.2633 0.0031
0.8904 0.7633 0.4969
0.3904 0.7367 0.9969
0.1096 0.2367 0.5031
```

Results
- raw formation energy (meV per atom) = -1247
- density (g/cm³) = 4.1
- energy relative to the lowest polymorph listed for this composition (meV/atom) = 0
- magnetization (μB/atom) = 0.000